Entry 1:
Compound: Mg2NbInB
Source: the Alexandria database
Functional: PBEsol
Structure: relaxed

Calculated values
The value obtained for the final energy is -4.734 eV per atom.

Unit cell a=4.4304 b=4.4304 c=4.4563 alpha=90.00 beta=90.00 gamma=90.00
Space group P4/mmm (No. 123)
Unique sites:
Mg  0.0000  0.5000  0.0000
Nb  0.0000  0.0000  0.5000
In  0.5000  0.5000  0.5000
B  0.0000  0.0000  0.0000

Entry 2:
Compound: P2PdWCl
Source: the Alexandria database
Functional: PBEsol
Structure: relaxed

Calculated values
The value obtained for the final energy is -6.052 eV per atom. The value obtained for the uncorrected formation energy is 619.8 meV per atom.

Unit cell a=4.6622 b=4.6622 c=4.5977 alpha=90.00 beta=90.00 gamma=90.00
Space group P4/mmm (No. 123)
Unique sites:
P  0.0000  0.5000  0.0000
Pd  0.0000  0.0000  0.5000
W  0.5000  0.5000  0.0000
Cl  0.5000  0.5000  0.5000

Entry 3:
Compound: Cd2AgCl
Source: the Alexandria database
Functional: PBEsol
Structure: relaxed

Calculated values
The energy above the most stable polymorph in this dataset is 0.057 eV/atom. The value obtained for the final energy is -2.128 eV per atom. The value obtained for the uncorrected formation energy is -200.1 meV per atom.

Unit cell a=4.4821 b=4.5001 c=7.8795 alpha=90.00 beta=90.00 gamma=90.00
Space group Cmmm (No. 65)
Unique sites:
Cd  0.0000  0.0000  0.2349
Ag  0.0000  0.5000  0.0000
Cl  0.0000  0.5000  0.5000

Entry 4:
Compound: CdSn
Source: the Alexandria database
Functional: PBEsol
Structure: relaxed

Calculated values
The value obtained for the final energy is -2.652 eV per atom.

Unit cell a=3.2604 b=3.2604 c=5.2404 alpha=90.00 beta=90.00 gamma=120.00
Space group P-6m2 (No. 187)
Unique sites:
Cd  0.0000  0.0000  0.0000
Sn  0.3333  0.6667  0.5000

Entry 5:
Compound: Li2GeBr
Source: the Alexandria database
Functional: PBEsol
Structure: relaxed

Calculated values
The value obtained for the final energy is -3.115 eV per atom. The value obtained for the uncorrected formation energy is -429.1 meV per atom.

Unit cell a=7.0325 b=7.0325 c=6.2927 alpha=90.00 beta=90.00 gamma=90.00
Space group I-42d (No. 122)
Unique sites:
Li  0.2247  0.2500  0.1250
Ge  0.0000  0.0000  0.5000
Br  0.0000  0.0000  0.0000

Entry 6:
Compound: LiLaNb4O12
Source: the Alexandria database
Functional: PBEsol
Structure: relaxed

Calculated values
The value obtained for the final energy is -8.953 eV per atom. The value obtained for the uncorrected formation energy is -2642.5 meV per atom.

Unit cell a=5.5694 b=5.5694 c=7.9623 alpha=90.00 beta=90.00 gamma=90.00
Space group P4/mmm (No. 123)
Unique sites:
Li  0.0000  0.0000  0.0000
La  0.5000  0.5000  0.0000
Nb  0.0000  0.5000  0.2574
O  0.0000  0.5000  0.0000
O  0.0000  0.5000  0.5000
O  0.2559  0.2559  0.2265

Entry 7:
Compound: CaAgSe2
Source: the Alexandria database
Functional: PBEsol
Structure: relaxed

Calculated values
The value obtained for the final energy is -4.167 eV per atom. The value obtained for the uncorrected formation energy is -881.3 meV per atom.

Unit cell a=3.8755 b=4.7310 c=5.3327 alpha=90.00 beta=105.04 gamma=90.00
Space group Pm (No. 6)
Unique sites:
Ca  0.0000  0.0000  0.0000
Ag  0.5390  0.5000  0.5485
Se  0.3309  0.0000  0.5558
Se  0.5254  0.5000  0.0519

Entry 8:
Compound: CoRe2Te
Source: the Alexandria database
Functional: PBEsol
Structure: relaxed

Calculated values
The value obtained for the final energy is -8.699 eV per atom. The value obtained for the uncorrected formation energy is 783.2 meV per atom.

Unit cell a=5.1306 b=9.9739 c=3.0665 alpha=90.00 beta=126.52 gamma=90.00
Space group C2/m (No. 12)
Unique sites:
Co  0.0000  0.0000  0.0000
Re  0.2500  0.2500  0.0000
Te  0.0000  0.5000  0.0000

Entry 9:
Compound: Sr2CuHg
Source: the Alexandria database
Functional: PBEsol
Structure: relaxed

Calculated values
The energy above the most stable polymorph in this dataset is 0.151 eV/atom. The value obtained for the final energy is -2.266 eV per atom.

Unit cell a=4.3958 b=4.3958 c=23.0786 alpha=90.00 beta=90.00 gamma=120.00
Space group R-3m (No. 166, hexagonal axes)
Unique sites:
Sr  0.0000  0.0000  0.2414
Cu  0.0000  0.0000  0.5000
Hg  0.0000  0.0000  0.0000

Entry 10:
Compound: ReNiBr2
Source: the Alexandria database
Functional: PBEsol
Structure: relaxed

Calculated values
The energy above the most stable polymorph in this dataset is 0.312 eV/atom. The value obtained for the final energy is -4.981 eV per atom. The value obtained for the uncorrected formation energy is 826.2 meV per atom.

Unit cell a=3.0793 b=3.0793 c=22.9202 alpha=90.00 beta=90.00 gamma=120.00
Space group R-3m (No. 166, hexagonal axes)
Unique sites:
Re  0.0000  0.0000  0.0000
Ni  0.0000  0.0000  0.5000
Br  0.0000  0.0000  0.2457

Entry 11:
Compound: BeCo3Re
Source: the Alexandria database
Functional: PBEsol
Structure: relaxed

Calculated values
The value obtained for the final energy is -7.521 eV per atom.

Unit cell a=3.7798 b=3.7798 c=3.7798 alpha=90.00 beta=90.00 gamma=90.00
Space group Pm-3m (No. 221)
Unique sites:
Be  0.0000  0.0000  0.0000
Co  0.0000  0.0000  0.5000
Re  0.5000  0.5000  0.5000

Entry 12:
Compound: NiP5O14
Source: the Alexandria database
Functional: PBEsol
Structure: relaxed

Calculated values
The value obtained for the final energy is -7.254 eV per atom. The value obtained for the uncorrected formation energy is -1823.4 meV per atom.

Unit cell a=9.5469 b=8.2137 c=14.7787 alpha=90.00 beta=121.14 gamma=90.00
Space group P2_1/c (No. 14)
Unique sites:
Ni  0.2036  0.2060  0.4951
P  0.0552  0.2114  0.1409
P  0.1499  0.5486  0.1450
P  0.2780  0.5744  0.4781
P  0.3012  0.0560  0.3336
P  0.4068  0.7145  0.3449
O  0.0276  0.6782  0.1261
O  0.1038  0.1120  0.6888
O  0.1109  0.1668  0.0675
O  0.1152  0.0980  0.2393
O  0.1342  0.7076  0.4084
O  0.1799  0.0005  0.5590
O  0.2130  0.0914  0.9290
O  0.2856  0.6378  0.8088
O  0.3023  0.0744  0.4359
O  0.3212  0.5941  0.2487
O  0.3532  0.6016  0.5920
O  0.4015  0.6322  0.4388
O  0.4244  0.2440  0.6252
O  0.4258  0.1375  0.3198

Entry 13:
Compound: Cd2PbAu
Source: the Alexandria database
Functional: PBEsol
Structure: relaxed

Calculated values
The value obtained for the final energy is -2.589 eV per atom.

Unit cell a=9.3753 b=3.4654 c=5.6119 alpha=90.00 beta=102.67 gamma=90.00
Space group C2/m (No. 12)
Unique sites:
Cd  0.2381  0.0000  0.2090
Pb  0.0000  0.0000  0.5000
Au  0.0000  0.5000  0.0000

Entry 14:
Compound: MnCo3
Source: the Alexandria database
Functional: PBEsol
Structure: relaxed

Calculated values
The value obtained for the final energy is -8.209 eV per atom.

Unit cell a=2.4465 b=2.4465 c=7.8133 alpha=90.00 beta=90.00 gamma=120.00
Space group P-6m2 (No. 187)
Unique sites:
Mn  0.0000  0.0000  0.0000
Co  0.0000  0.0000  0.5000
Co  0.3333  0.6667  0.2469

Entry 15:
Compound: BaGa2
Source: the Alexandria database
Functional: PBEsol
Structure: relaxed

Calculated values
The value obtained for the final energy is -3.426 eV per atom.

Unit cell a=4.3738 b=4.3738 c=5.0427 alpha=90.00 beta=90.00 gamma=120.00
Space group P6/mmm (No. 191)
Unique sites:
Ba  0.0000  0.0000  0.0000
Ga  0.3333  0.6667  0.5000

Entry 16:
Compound: ZnINO2
Source: the Alexandria database
Functional: PBEsol
Structure: relaxed

Calculated values
The value obtained for the final energy is -3.635 eV per atom. The value obtained for the uncorrected formation energy is 839.4 meV per atom.

Unit cell a=3.6033 b=3.6033 c=6.6387 alpha=90.00 beta=90.00 gamma=90.00
Space group P4/mmm (No. 123)
Unique sites:
Zn  0.0000  0.0000  0.0000
I  0.0000  0.0000  0.5000
N  0.5000  0.5000  0.5000
O  0.0000  0.5000  0.0000

Entry 17:
Compound: TlCrRe3
Source: the Alexandria database
Functional: PBEsol
Structure: relaxed

Calculated values
The value obtained for the final energy is -6.962 eV per atom.

Unit cell a=4.8422 b=4.8422 c=4.8422 alpha=90.00 beta=90.00 gamma=90.00
Space group Pm-3m (No. 221)
Unique sites:
Tl  0.0000  0.0000  0.0000
Cr  0.5000  0.5000  0.5000
Re  0.0000  0.0000  0.5000

Entry 18:
Compound: AlSi2Ru
Source: the Alexandria database
Functional: PBEsol
Structure: relaxed

Calculated values
The value obtained for the final energy is -6.753 eV per atom. The value obtained for the uncorrected formation energy is -314.1 meV per atom.

Unit cell a=4.1705 b=3.0394 c=8.8879 alpha=90.00 beta=90.00 gamma=90.00
Space group Amm2 (No. 38)
Unique sites:
Al  0.0000  0.0000  0.0000
Si  0.0000  0.0000  0.2675
Si  0.5000  0.0000  0.6875
Ru  0.5000  0.0000  0.4077

Entry 19:
Compound: FeCoRh3
Source: the Alexandria database
Functional: PBEsol
Structure: relaxed

Calculated values
The value obtained for the final energy is -6.888 eV per atom.

Unit cell a=4.3278 b=4.3278 c=4.3278 alpha=90.00 beta=90.00 gamma=90.00
Space group Pm-3m (No. 221)
Unique sites:
Fe  0.0000  0.0000  0.0000
Co  0.5000  0.5000  0.5000
Rh  0.0000  0.5000  0.5000

Entry 20:
Compound: CaBe2Mo
Source: the Alexandria database
Functional: PBEsol
Structure: relaxed

Calculated values
The energy above the most stable polymorph in this dataset is 0.000 eV/atom. The value obtained for the final energy is -4.636 eV per atom.

Unit cell a=2.7627 b=2.7627 c=27.0211 alpha=90.00 beta=90.00 gamma=120.00
Space group R3m (No. 160, hexagonal axes)
Unique sites:
Ca  0.0000  0.0000  0.0000
Be  0.0000  0.0000  0.2383
Be  0.0000  0.0000  0.5077
Mo  0.0000  0.0000  0.7663